Entry 1:
Compound: CeTaTi2O8
Source: the Alexandria database
Functional: GGA-PBE
Structure: optimized geometry

Structure (extended XYZ):
```
12
Lattice="3.718 -3.217 0.000 3.718 3.217 0.000 -0.842 0.000 6.724" Properties=species:S:1:pos:R:3 pbc="T T T"
Ce 0.000 0.000 0.000
Ta -0.421 0.000 3.362
Ti 2.629 0.000 5.153
Ti 3.964 0.000 1.571
O 3.103 1.850 4.837
O 3.490 1.850 1.888
O 1.526 0.000 3.690
O 1.580 0.000 6.642
O 5.013 0.000 0.082
O 5.068 0.000 3.034
O 3.103 -1.850 4.837
O 3.490 -1.850 1.888
```

Output
Formation energy (no corrections), eV per formula unit: -36.08
Calculated volume, Å³ per atom: 13.4

---

Entry 2:
Compound: CeTaTiO6
Source: the Alexandria database
Functional: GGA-PBE
Structure: optimized geometry

Structure (extended XYZ):
```
36
Lattice="11.151 0.000 0.000 0.000 5.361 0.000 0.000 0.000 7.564" Properties=species:S:1:pos:R:3 pbc="T T T"
Ce 0.484 0.247 0.000
Ce 5.091 2.927 3.782
Ce 6.060 2.433 0.000
Ce 10.667 5.114 3.782
Ta 1.619 2.900 1.946
Ta 3.956 0.219 5.728
Ta 7.195 5.142 1.946
Ta 9.532 2.461 5.728
Ti 1.570 2.874 5.637
Ti 4.005 0.193 1.855
Ti 7.146 5.168 5.637
Ti 9.581 2.487 1.855
O 0.263 1.427 5.387
O 0.311 1.412 2.195
O 1.331 3.543 3.799
O 1.591 2.406 0.004
O 2.327 4.681 6.136
O 2.381 4.692 1.445
O 3.194 2.012 5.227
O 3.249 2.001 2.354
O 3.985 5.087 3.786
O 4.245 0.863 0.017
O 5.264 4.092 5.977
O 5.313 4.108 1.605
O 5.838 1.253 5.387
O 5.887 1.269 2.195
O 6.907 4.498 3.799
O 7.166 0.274 0.004
O 7.902 3.360 6.136
O 7.957 3.349 1.445
O 8.770 0.668 5.227
O 8.824 0.680 2.354
O 9.560 2.955 3.786
O 9.820 1.818 0.017
O 10.840 3.949 5.977
O 10.888 3.934 1.605
```

Output
Formation energy (no corrections), eV per formula unit: -28.24
Energy relative to the lowest polymorph listed for this composition, meV/atom: 0
Calculated volume, Å³ per atom: 12.6